Entry 1:
This record from Alexandria via LeMat-Bulk describes CaVAg2Se4 after structural relaxation. The functional is GGA-PBE.

a = 6.2886 Å, b = 6.2886 Å, c = 11.2654 Å
α = 90.00°, β = 90.00°, γ = 90.00°
Last column: nearest neighbours and their distance in Å.
Space group I-42m (No. 121)
Symmetry-distinct sites (fractional):
Ca (0.0000, 0.0000, 0.0000) (multiplicity 2)  4 Se 2.87
V (0.0000, 0.0000, 0.5000) (multiplicity 2)  4 Se 2.36
Ag (0.0000, 0.5000, 0.2500) (multiplicity 4)  4 Se 2.67
Se (0.2159, 0.2159, 0.3782) (multiplicity 8)  1 V 2.36

E_form (uncorrected)   -0.664 eV/atom

Entry 2:
This record from Alexandria via LeMat-Bulk describes Zr2Sc2Ag after structural relaxation. The functional is GGA-PBE.

a = 7.1669 Å, b = 7.1669 Å, c = 4.5014 Å
α = 90.00°, β = 90.00°, γ = 90.00°
Last column: nearest neighbours and their distance in Å.
Space group P4/mbm (No. 127)
Symmetry-distinct sites (fractional):
Zr (0.1494, 0.3506, 0.0000) (multiplicity 4)  1 Zr 3.03, 6 Sc 3.05-3.10
Sc (0.1479, 0.6479, 0.5000) (multiplicity 4)  2 Ag 2.74, 1 Sc 3.00, 2 Zr 3.05
Ag (0.0000, 0.0000, 0.5000) (multiplicity 2)  4 Sc 2.74

Calculated formation energy   81 kJ/mol of formula units
Energy relative to the lowest polymorph listed for this composition   275 meV per atom

Entry 3:
This record from Alexandria via LeMat-Bulk describes TbCe2Tl2Ag2 after structural relaxation. The functional is GGA-PBE.

a = 4.7959 Å, b = 4.7959 Å, c = 26.4335 Å
α = 90.00°, β = 90.00°, γ = 120.00°
Last column: nearest neighbours and their distance in Å.
Space group R-3m (No. 166, hexagonal axes)
Symmetry-distinct sites (fractional):
Tb (0.0000, 0.0000, 0.0000) (multiplicity 3)  6 Tl 3.22
Ce (0.0000, 0.0000, 0.1431) (multiplicity 6)  3 Ce 3.04, 3 Ag 3.07, 1 Tl 3.37
Tl (0.0000, 0.0000, 0.2708) (multiplicity 6)  3 Ag 2.89, 3 Tb 3.22
Ag (0.0000, 0.0000, 0.4266) (multiplicity 6)  3 Tl 2.89, 3 Ce 3.07

Calculated formation energy   -94 kJ/mol of formula units

Entry 4:
This record from Alexandria via LeMat-Bulk describes Tb5Bi2Te2 after structural relaxation. The functional is GGA-PBE.

a = 15.4741 Å, b = 8.2171 Å, c = 8.2990 Å
α = 90.00°, β = 90.00°, γ = 90.00°
Last column: nearest neighbours and their distance in Å.
Space group Cmce (No. 64)
Symmetry-distinct sites (fractional):
Tb (0.0000, 0.0000, 0.0000) (multiplicity 4)  2 Bi 3.10, 4 Te 3.15-3.18
Tb (0.1330, 0.1553, 0.3429) (multiplicity 16)  3 Te 3.10-3.24, 3 Bi 3.16-3.29
Bi (0.2003, 0.0000, 0.0000) (multiplicity 8)  7 Tb 3.10-3.29
Te (0.0000, 0.1453, 0.6444) (multiplicity 8)  8 Tb 3.10-3.24, 1 Te 3.38

E_form (uncorrected)   -0.931 eV/atom
Energy relative to the lowest polymorph listed for this composition   13 meV per atom

Entry 5:
This record from Alexandria via LeMat-Bulk describes CsNaTb2Cl8 after structural relaxation. The functional is GGA-PBE.

a = 6.8770 Å, b = 8.4216 Å, c = 7.1929 Å
α = 90.00°, β = 94.84°, γ = 90.00°
Last column: nearest neighbours and their distance in Å.
Space group P2/m (No. 10)
Symmetry-distinct sites (fractional):
Cs (0.0000, 0.0000, 0.0000) (multiplicity 1)  6 Cl 3.26-3.54
Na (0.0000, 0.5000, 0.0000) (multiplicity 1)  4 Cl 2.85
Tb (0.5000, 0.2585, 0.5000) (multiplicity 2)  6 Cl 2.61-2.75
Cl (0.2597, 0.2853, 0.2010) (multiplicity 4)  1 Tb 2.61, 1 Na 2.85
Cl (0.2967, 0.5000, 0.6444) (multiplicity 2)  2 Tb 2.72
Cl (0.3060, 0.0000, 0.6284) (multiplicity 2)  2 Tb 2.75

E_form (uncorrected)   -2.125 eV/atom

Entry 6:
This record from Alexandria via LeMat-Bulk describes Tb2Zn4Ni3 after structural relaxation. The functional is GGA-PBE.

a = 5.0986 Å, b = 8.8701 Å, c = 12.9822 Å
α = 90.00°, β = 90.00°, γ = 90.00°
Last column: nearest neighbours and their distance in Å.
Space group Fmmm (No. 69)
Symmetry-distinct sites (fractional):
Tb (0.0000, 0.0000, 0.1233) (multiplicity 8)  8 Zn 2.98-3.16, 6 Ni 3.01-3.02, 1 Tb 3.20
Zn (0.0000, 0.1651, 0.3387) (multiplicity 16)  3 Ni 2.56, 1 Zn 2.75
Ni (0.0000, 0.0000, 0.5000) (multiplicity 4)  4 Zn 2.56, 4 Ni 2.56
Ni (0.2500, 0.2500, 0.0000) (multiplicity 8)  4 Ni 2.55-2.56, 4 Zn 2.56

Calculated formation energy   -326 kJ/mol of formula units

Listing D(E_F) for the structures above in their given order: 9.6 16.3 31.8 36.7 0.0 20.4 states/eV per cell.